# 1
DyAgSnTe3 | PBE | optimized geometry

Properties
Calculated total energy in eV/atom: -4.15
Polymorph energy (0 for the lowest one) in kJ per mole of atoms: 0.0
Crystal system: orthorhombic

Unit cell a=14.5019 b=4.3184 c=11.5934 alpha=90.00 beta=90.00 gamma=90.00
With the nearest neighbours (Å) after each atom.
Fractional positions:
1 Te 0.3476 0.2500 0.2525  1 Ag 2.83, 2 Dy 3.09
2 Sn 0.2797 0.7500 0.0519  6 Te 3.25-3.32
3 Te 0.8760 0.2500 0.6199  3 Ag 2.91-2.94, 1 Dy 3.06, 2 Sn 3.25
4 Dy 0.5105 0.2500 0.6766  6 Te 3.06-3.10
5 Te 0.8476 0.2500 0.2475  1 Ag 2.83, 2 Dy 3.09
6 Te 0.6240 0.7500 0.1199  3 Ag 2.91-2.94, 1 Dy 3.06, 2 Sn 3.25
7 Sn 0.7797 0.7500 0.4481  6 Te 3.25-3.32
8 Te 0.1524 0.7500 0.7525  1 Ag 2.83, 2 Dy 3.09
9 Sn 0.7203 0.2500 0.9481  6 Te 3.25-3.32
10 Ag 0.5081 0.7500 0.9120  4 Te 2.83-2.94, 2 Ag 2.98
11 Te 0.3886 0.7500 0.5595  3 Dy 3.10, 2 Sn 3.26
12 Te 0.6524 0.7500 0.7475  1 Ag 2.83, 2 Dy 3.09
13 Te 0.6114 0.2500 0.4405  3 Dy 3.10, 2 Sn 3.26
14 Ag 0.4919 0.2500 0.0880  4 Te 2.83-2.94, 2 Ag 2.98
15 Sn 0.2203 0.2500 0.5519  6 Te 3.25-3.32
16 Dy 0.0105 0.2500 0.8234  6 Te 3.06-3.10
17 Ag 0.9919 0.2500 0.4120  4 Te 2.83-2.94, 2 Ag 2.98
18 Dy 0.4895 0.7500 0.3234  6 Te 3.06-3.10
19 Te 0.8886 0.7500 0.9405  3 Dy 3.10, 2 Sn 3.26
20 Te 0.1114 0.2500 0.0595  3 Dy 3.10, 2 Sn 3.26
21 Te 0.1240 0.7500 0.3801  3 Ag 2.91-2.94, 1 Dy 3.06, 2 Sn 3.25
22 Dy 0.9895 0.7500 0.1766  6 Te 3.06-3.10
23 Ag 0.0081 0.7500 0.5880  4 Te 2.83-2.94, 2 Ag 2.98
24 Te 0.3760 0.2500 0.8801  3 Ag 2.91-2.94, 1 Dy 3.06, 2 Sn 3.25


# 2
DyAgSnTe3 | PBE | optimized geometry

Properties
Calculated total energy in eV/atom: -4.14
Polymorph energy (0 for the lowest one) in kJ per mole of atoms: 0.6
Crystal system: monoclinic

Unit cell a=8.2587 b=4.3305 c=10.6382 alpha=90.00 beta=106.36 gamma=90.00
With the nearest neighbours (Å) after each atom.
Fractional positions:
1 Sn 0.7318 0.7500 0.7020  7 Te 3.25-3.56
2 Te 0.0432 0.2500 0.8407  1 Ag 2.79, 2 Dy 3.06
3 Dy 0.6992 0.2500 0.1702  6 Te 3.06-3.11
4 Te 0.4213 0.7500 0.1347  3 Dy 3.10-3.11, 2 Sn 3.25
5 Te 0.9568 0.7500 0.1593  1 Ag 2.79, 2 Dy 3.06
6 Te 0.7071 0.2500 0.4645  3 Ag 2.90-3.05, 1 Dy 3.11
7 Ag 0.9118 0.7500 0.4100  4 Te 2.79-3.05, 2 Ag 2.98
8 Sn 0.2682 0.2500 0.2980  7 Te 3.25-3.56
9 Te 0.5787 0.2500 0.8653  3 Dy 3.10-3.11, 2 Sn 3.25
10 Ag 0.0882 0.2500 0.5900  4 Te 2.79-3.05, 2 Ag 2.98
11 Te 0.2929 0.7500 0.5355  3 Ag 2.90-3.05, 1 Dy 3.11
12 Dy 0.3008 0.7500 0.8298  6 Te 3.06-3.11


# 3
DyAgSnTe3 | PBE | optimized geometry

Properties
Calculated total energy in eV/atom: -4.10
Polymorph energy (0 for the lowest one) in kJ per mole of atoms: 4.3
Crystal system: orthorhombic

Unit cell a=9.0912 b=4.5203 c=18.1002 alpha=90.00 beta=90.00 gamma=90.00
With the nearest neighbours (Å) after each atom.
Fractional positions:
1 Sn 0.4077 0.2500 0.7498  3 Te 3.05-3.08
2 Te 0.3849 0.7500 0.9390  1 Ag 2.78, 2 Dy 3.05
3 Te 0.8849 0.7500 0.5610  1 Ag 2.78, 2 Dy 3.05
4 Te 0.0346 0.7500 0.0841  2 Ag 2.84, 1 Sn 3.05
5 Sn 0.9077 0.2500 0.7502  3 Te 3.05-3.08
6 Te 0.6909 0.7500 0.7893  1 Ag 2.81, 2 Sn 3.08
7 Ag 0.3790 0.2500 0.3617  4 Te 2.78-2.84
8 Te 0.5346 0.7500 0.4159  2 Ag 2.84, 1 Sn 3.05
9 Te 0.4654 0.2500 0.5841  2 Ag 2.84, 1 Sn 3.05
10 Dy 0.2708 0.2500 0.0368  6 Te 3.05-3.23
11 Dy 0.7292 0.7500 0.9632  6 Te 3.05-3.23
12 Ag 0.8790 0.2500 0.1383  4 Te 2.78-2.84
13 Te 0.6151 0.2500 0.0610  1 Ag 2.78, 2 Dy 3.05
14 Dy 0.7708 0.2500 0.4632  6 Te 3.05-3.23
15 Te 0.1151 0.2500 0.4390  1 Ag 2.78, 2 Dy 3.05
16 Ag 0.1210 0.7500 0.8617  4 Te 2.78-2.84
17 Ag 0.6210 0.7500 0.6383  4 Te 2.78-2.84
18 Dy 0.2292 0.7500 0.5368  6 Te 3.05-3.23
19 Te 0.3091 0.2500 0.2107  1 Ag 2.81, 2 Sn 3.08
20 Te 0.1909 0.7500 0.7107  1 Ag 2.81, 2 Sn 3.08
21 Te 0.8091 0.2500 0.2893  1 Ag 2.81, 2 Sn 3.08
22 Sn 0.5923 0.7500 0.2502  3 Te 3.05-3.08
23 Te 0.9654 0.2500 0.9159  2 Ag 2.84, 1 Sn 3.05
24 Sn 0.0923 0.7500 0.2498  3 Te 3.05-3.08


# 4
DyAgSnTe3 | PBE | optimized geometry

Properties
Calculated total energy in eV/atom: -4.14
Polymorph energy (0 for the lowest one) in kJ per mole of atoms: 1.0
Crystal system: orthorhombic

Unit cell a=4.3090 b=7.6756 c=11.1521 alpha=90.00 beta=90.00 gamma=73.70
With the nearest neighbours (Å) after each atom.
Fractional positions:
1 Ag 0.5279 0.9441 0.2500  4 Te 2.80-2.83
2 Te 0.3524 0.2952 0.5551  1 Ag 2.80, 2 Dy 3.12
3 Ag 0.4721 0.0559 0.7500  4 Te 2.80-2.83
4 Te 0.6476 0.7048 0.0551  1 Ag 2.80, 2 Dy 3.12
5 Te 0.3524 0.2952 0.9449  1 Ag 2.80, 2 Dy 3.12
6 Te 0.0969 0.8062 0.7500  2 Ag 2.83, 2 Dy 3.13
7 Te 0.9031 0.1938 0.2500  2 Ag 2.83, 2 Dy 3.13
8 Te 0.6476 0.7048 0.4449  1 Ag 2.80, 2 Dy 3.12
9 Dy 0.0000 0.0000 0.5000  6 Te 3.12-3.13
10 Sn 0.2297 0.5406 0.2500  6 Te 3.29-3.34, 2 Ag 3.67
11 Sn 0.7703 0.4594 0.7500  6 Te 3.29-3.34, 2 Ag 3.67
12 Dy 0.0000 0.0000 0.0000  6 Te 3.12-3.13


# 5
DyAgSnTe3 | PBE | optimized geometry

Properties
Calculated total energy in eV/atom: -4.08
Polymorph energy (0 for the lowest one) in kJ per mole of atoms: 5.9
Crystal system: orthorhombic

Unit cell a=12.4487 b=4.4926 c=12.5740 alpha=90.00 beta=90.00 gamma=90.00
With the nearest neighbours (Å) after each atom.
Fractional positions:
1 Dy 0.4740 0.5000 0.1901  6 Te 3.13-3.28
2 Te 0.4078 0.5000 0.9374  1 Ag 2.80, 2 Dy 3.13
3 Sn 0.1903 0.0000 0.9802  7 Te 3.28-3.56, 2 Ag 3.29
4 Ag 0.2354 0.5000 0.7946  4 Te 2.76-2.81
5 Te 0.5922 0.0000 0.0626  1 Ag 2.80, 2 Dy 3.13
6 Dy 0.5260 0.0000 0.8099  6 Te 3.13-3.28
7 Te 0.9734 0.0000 0.1313  1 Ag 2.76
8 Te 0.7817 0.0000 0.8313  2 Ag 2.81
9 Sn 0.8097 0.5000 0.0198  7 Te 3.28-3.56, 2 Ag 3.29
10 Ag 0.7646 0.0000 0.2054  4 Te 2.76-2.81
11 Ag 0.2646 0.0000 0.2946  4 Te 2.76-2.81
12 Te 0.0922 0.0000 0.4374  1 Ag 2.80, 2 Dy 3.13
13 Te 0.2817 0.0000 0.6687  2 Ag 2.81
14 Te 0.2183 0.5000 0.1687  2 Ag 2.81
15 Te 0.7183 0.5000 0.3313  2 Ag 2.81
16 Te 0.4734 0.0000 0.3687  1 Ag 2.76
17 Sn 0.6903 0.0000 0.5198  7 Te 3.28-3.56, 2 Ag 3.29
18 Te 0.9078 0.5000 0.5626  1 Ag 2.80, 2 Dy 3.13
19 Dy 0.9740 0.5000 0.3099  6 Te 3.13-3.28
20 Ag 0.7354 0.5000 0.7054  4 Te 2.76-2.81
21 Sn 0.3097 0.5000 0.4802  7 Te 3.28-3.56, 2 Ag 3.29
22 Dy 0.0260 0.0000 0.6901  6 Te 3.13-3.28
23 Te 0.0266 0.5000 0.8687  1 Ag 2.76
24 Te 0.5266 0.5000 0.6313  1 Ag 2.76


# 6
DyAgSnTe3 | PBE | optimized geometry

Properties
Calculated total energy in eV/atom: -4.09
Polymorph energy (0 for the lowest one) in kJ per mole of atoms: 5.8
Crystal system: orthorhombic

Unit cell a=12.4703 b=4.4912 c=12.6077 alpha=90.00 beta=90.00 gamma=90.00
With the nearest neighbours (Å) after each atom.
Fractional positions:
1 Sn 0.8131 0.2500 0.9853  7 Te 3.23-3.61, 2 Ag 3.32
2 Ag 0.2360 0.2500 0.2025  4 Te 2.77-2.82
3 Dy 0.9759 0.2500 0.6894  6 Te 3.12-3.28
4 Te 0.9745 0.7500 0.8682  1 Ag 2.77
5 Te 0.5918 0.7500 0.9381  1 Ag 2.78, 2 Dy 3.12
6 Te 0.9082 0.2500 0.4381  1 Ag 2.78, 2 Dy 3.12
7 Sn 0.1869 0.7500 0.0147  7 Te 3.23-3.61, 2 Ag 3.32
8 Sn 0.6869 0.7500 0.4853  7 Te 3.23-3.61, 2 Ag 3.32
9 Te 0.4082 0.2500 0.0619  1 Ag 2.78, 2 Dy 3.12
10 Ag 0.2640 0.7500 0.7025  4 Te 2.77-2.82
11 Dy 0.0241 0.7500 0.3106  6 Te 3.12-3.28
12 Sn 0.3131 0.2500 0.5147  7 Te 3.23-3.61, 2 Ag 3.32
13 Te 0.2208 0.2500 0.8304  2 Ag 2.82
14 Ag 0.7360 0.2500 0.2975  4 Te 2.77-2.82
15 Te 0.5255 0.2500 0.3682  1 Ag 2.77
16 Te 0.2792 0.7500 0.3304  2 Ag 2.82
17 Dy 0.5241 0.7500 0.1894  6 Te 3.12-3.28
18 Te 0.4745 0.7500 0.6318  1 Ag 2.77
19 Ag 0.7640 0.7500 0.7975  4 Te 2.77-2.82
20 Te 0.0918 0.7500 0.5619  1 Ag 2.78, 2 Dy 3.12
21 Te 0.7208 0.2500 0.6696  2 Ag 2.82
22 Te 0.0255 0.2500 0.1318  1 Ag 2.77
23 Te 0.7792 0.7500 0.1696  2 Ag 2.82
24 Dy 0.4759 0.2500 0.8106  6 Te 3.12-3.28


# 7
DyAgSnTe3 | PBE | optimized geometry

Properties
Calculated total energy in eV/atom: -4.14
Polymorph energy (0 for the lowest one) in kJ per mole of atoms: 0.7
Crystal system: orthorhombic

Unit cell a=11.2054 b=4.3357 c=14.6219 alpha=90.00 beta=90.00 gamma=90.00
With the nearest neighbours (Å) after each atom.
Fractional positions:
1 Te 0.5369 0.2500 0.1076  1 Ag 2.83, 2 Dy 3.15
2 Sn 0.7825 0.2500 0.5143  7 Te 3.26-3.40
3 Te 0.2657 0.2500 0.6520  2 Ag 2.83, 2 Dy 3.15
4 Te 0.4238 0.2500 0.4013  1 Ag 2.76, 2 Dy 3.08
5 Sn 0.2825 0.2500 0.9857  7 Te 3.26-3.40
6 Te 0.5762 0.7500 0.5987  1 Ag 2.76, 2 Dy 3.08
7 Sn 0.2175 0.7500 0.4857  7 Te 3.26-3.40
8 Ag 0.7391 0.2500 0.2240  4 Te 2.76-2.83
9 Te 0.7343 0.7500 0.3480  2 Ag 2.83, 2 Dy 3.15
10 Sn 0.7175 0.7500 0.0143  7 Te 3.26-3.40
11 Dy 0.5205 0.2500 0.7422  6 Te 3.08-3.15
12 Te 0.7657 0.2500 0.8480  2 Ag 2.83, 2 Dy 3.15
13 Te 0.0369 0.2500 0.3924  1 Ag 2.83, 2 Dy 3.15
14 Te 0.4631 0.7500 0.8924  1 Ag 2.83, 2 Dy 3.15
15 Ag 0.7609 0.7500 0.7240  4 Te 2.76-2.83
16 Ag 0.2391 0.2500 0.2760  4 Te 2.76-2.83
17 Te 0.9238 0.2500 0.0987  1 Ag 2.76, 2 Dy 3.08
18 Te 0.2343 0.7500 0.1520  2 Ag 2.83, 2 Dy 3.15
19 Dy 0.4795 0.7500 0.2578  6 Te 3.08-3.15
20 Dy 0.0205 0.2500 0.7578  6 Te 3.08-3.15
21 Ag 0.2609 0.7500 0.7760  4 Te 2.76-2.83
22 Te 0.0762 0.7500 0.9013  1 Ag 2.76, 2 Dy 3.08
23 Te 0.9631 0.7500 0.6076  1 Ag 2.83, 2 Dy 3.15
24 Dy 0.9795 0.7500 0.2422  6 Te 3.08-3.15


# 8
DyAgSnTe3 | PBE | optimized geometry

Properties
Calculated total energy in eV/atom: -4.12
Polymorph energy (0 for the lowest one) in kJ per mole of atoms: 2.2
Crystal system: monoclinic

Unit cell a=9.9681 b=9.9681 c=8.9523 alpha=101.90 beta=101.90 gamma=24.91
With the nearest neighbours (Å) after each atom.
Fractional positions:
1 Dy 0.1630 0.1630 0.5893  6 Te 3.08-3.11
2 Te 0.0000 0.0000 0.5000  4 Ag 2.88, 2 Dy 3.10
3 Sn 0.1278 0.1278 0.0715  7 Te 3.25-3.52
4 Te 0.3129 0.3129 0.1576  1 Ag 2.81, 2 Dy 3.09
5 Te 0.6871 0.6871 0.8424  1 Ag 2.81, 2 Dy 3.09
6 Sn 0.8722 0.8722 0.9285  7 Te 3.25-3.52
7 Te 0.3263 0.3263 0.6516  3 Dy 3.08-3.11, 2 Sn 3.26
8 Te 0.6737 0.6737 0.3484  3 Dy 3.08-3.11, 2 Sn 3.26
9 Ag 0.5424 0.5424 0.7140  4 Te 2.81-2.88
10 Dy 0.8370 0.8370 0.4107  6 Te 3.08-3.11
11 Te 0.5000 0.5000 0.0000  2 Ag 2.85
12 Ag 0.4576 0.4576 0.2860  4 Te 2.81-2.88


# 9
DyTmAg2Sn2 | PBE | optimized geometry

Properties
Calculated total energy in eV/atom: -4.36
Crystal system: trigonal

Unit cell a=4.7131 b=4.7131 c=7.3175 alpha=90.00 beta=90.00 gamma=120.00
With the nearest neighbours (Å) after each atom.
Fractional positions:
1 Sn 0.3333 0.6667 0.5386  4 Ag 2.80-3.02
2 Dy 0.0000 0.0000 0.7604  3 Ag 3.06, 6 Sn 3.17-3.41
3 Ag 0.3333 0.6667 0.9508  4 Sn 2.80-3.02, 3 Dy 3.06
4 Sn 0.6667 0.3333 0.0414  4 Ag 2.80-2.97
5 Tm 0.0000 0.0000 0.2610  3 Ag 3.05, 6 Sn 3.16-3.40
6 Ag 0.6667 0.3333 0.4478  4 Sn 2.80-2.97, 3 Tm 3.05


# 10
SrDyAg | PBE | optimized geometry

Properties
Calculated total energy in eV/atom: -2.94
Crystal system: cubic

Unit cell a=5.2263 b=5.2263 c=5.2263 alpha=60.00 beta=60.00 gamma=60.00
With the nearest neighbours (Å) after each atom.
Fractional positions:
1 Dy 0.2500 0.2500 0.2500  4 Ag 3.20
2 Sr 0.7500 0.7500 0.7500  4 Ag 3.20
3 Ag 0.0000 0.0000 0.0000  4 Sr 3.20, 4 Dy 3.20


Please write out number 2 again, unchanged.
DyAgSnTe3 | PBE | optimized geometry

Properties
Calculated total energy in eV/atom: -4.14
Polymorph energy (0 for the lowest one) in kJ per mole of atoms: 0.6
Crystal system: monoclinic

Unit cell a=8.2587 b=4.3305 c=10.6382 alpha=90.00 beta=106.36 gamma=90.00
With the nearest neighbours (Å) after each atom.
Fractional positions:
1 Sn 0.7318 0.7500 0.7020  7 Te 3.25-3.56
2 Te 0.0432 0.2500 0.8407  1 Ag 2.79, 2 Dy 3.06
3 Dy 0.6992 0.2500 0.1702  6 Te 3.06-3.11
4 Te 0.4213 0.7500 0.1347  3 Dy 3.10-3.11, 2 Sn 3.25
5 Te 0.9568 0.7500 0.1593  1 Ag 2.79, 2 Dy 3.06
6 Te 0.7071 0.2500 0.4645  3 Ag 2.90-3.05, 1 Dy 3.11
7 Ag 0.9118 0.7500 0.4100  4 Te 2.79-3.05, 2 Ag 2.98
8 Sn 0.2682 0.2500 0.2980  7 Te 3.25-3.56
9 Te 0.5787 0.2500 0.8653  3 Dy 3.10-3.11, 2 Sn 3.25
10 Ag 0.0882 0.2500 0.5900  4 Te 2.79-3.05, 2 Ag 2.98
11 Te 0.2929 0.7500 0.5355  3 Ag 2.90-3.05, 1 Dy 3.11
12 Dy 0.3008 0.7500 0.8298  6 Te 3.06-3.11


What is the formula in the tenth record?
SrDyAg